[1]
Rb6PuCl12 after structural relaxation, computed with PBE.

Cell lengths 9.230, 9.230, 9.230 Å; angles 97.89, 97.89, 97.89 degrees
Site moments in Bohr magnetons follow the coordinates.
Atoms (fractional coordinates):
1 Cl 0.721 0.014 0.946  -0.07
2 Cl 0.587 0.460 0.151  0.20
3 Cl 0.413 0.540 0.849  0.20
4 Cl 0.540 0.849 0.413  0.20
5 Cl 0.151 0.587 0.460  0.20
6 Cl 0.460 0.151 0.587  0.20
7 Cl 0.014 0.946 0.721  -0.07
8 Cl 0.986 0.054 0.279  -0.07
9 Cl 0.946 0.721 0.014  -0.07
10 Cl 0.279 0.986 0.054  -0.07
11 Cl 0.054 0.279 0.986  -0.07
12 Cl 0.849 0.413 0.540  0.20
13 Rb 0.706 0.379 0.838  0.00
14 Rb 0.294 0.621 0.162  0.00
15 Rb 0.838 0.706 0.379  0.00
16 Rb 0.621 0.162 0.294  0.00
17 Rb 0.162 0.294 0.621  0.00
18 Rb 0.379 0.838 0.706  0.00
19 Pu 0.000 0.000 0.000  4.11

Calculated values
The value obtained for the total energy is -73.201 eV for the cell shown. The value obtained for the uncorrected formation energy is -1627 meV per atom. The theoretical density is 2.578 g cm⁻³.

***

[2]
Rb2PuCl6 after structural relaxation, computed with PBE.

Cell lengths 7.486, 7.486, 12.201 Å; angles 90.00, 90.00, 120.00 degrees
Site moments in Bohr magnetons follow the coordinates.
Atoms (fractional coordinates):
1 Cl 0.835 0.165 0.854  -0.05
2 Cl 0.671 0.835 0.354  -0.05
3 Cl 0.495 0.991 0.114  -0.06
4 Cl 0.991 0.495 0.614  -0.06
5 Cl 0.165 0.835 0.354  -0.05
6 Cl 0.505 0.009 0.614  -0.06
7 Cl 0.009 0.505 0.114  -0.06
8 Cl 0.505 0.495 0.614  -0.06
9 Cl 0.835 0.671 0.854  -0.05
10 Cl 0.495 0.505 0.114  -0.06
11 Cl 0.329 0.165 0.854  -0.05
12 Cl 0.165 0.329 0.354  -0.05
13 Rb 0.333 0.667 0.860  0.00
14 Rb 0.000 0.000 0.607  0.00
15 Rb 0.000 0.000 0.107  0.00
16 Rb 0.667 0.333 0.360  0.00
17 Pu 0.667 0.333 0.739  4.34
18 Pu 0.333 0.667 0.239  4.34

Calculated values
The value obtained for the total energy is -88.283 eV for the cell shown. The value obtained for the uncorrected formation energy is -1866 meV per atom. The theoretical density is 3.521 g cm⁻³.

***

[3]
RbPuCl3 after structural relaxation, computed with PBE.

Cell lengths 4.352, 7.685, 18.257 Å; angles 90.00, 90.00, 90.00 degrees
Site moments in Bohr magnetons follow the coordinates.
Atoms (fractional coordinates):
1 Cl 0.750 0.814 0.193  -0.01
2 Cl 0.250 0.371 0.551  -0.03
3 Cl 0.750 0.129 0.051  -0.03
4 Cl 0.250 0.510 0.084  -0.04
5 Cl 0.750 0.314 0.307  -0.01
6 Cl 0.250 0.186 0.807  -0.01
7 Cl 0.750 0.490 0.916  -0.04
8 Cl 0.750 0.629 0.449  -0.03
9 Cl 0.250 0.871 0.949  -0.03
10 Cl 0.750 0.990 0.584  -0.04
11 Cl 0.250 0.686 0.693  -0.01
12 Cl 0.250 0.010 0.416  -0.04
13 Rb 0.250 0.639 0.304  0.00
14 Rb 0.750 0.361 0.696  0.00
15 Rb 0.250 0.139 0.196  0.00
16 Rb 0.750 0.861 0.804  0.00
17 Pu 0.250 0.263 0.960  5.75
18 Pu 0.750 0.737 0.040  5.75
19 Pu 0.250 0.763 0.540  5.75
20 Pu 0.750 0.237 0.460  5.75

Calculated values
The value obtained for the total energy is -120.174 eV for the cell shown. The value obtained for the uncorrected formation energy is -1841 meV per atom. The theoretical density is 4.741 g cm⁻³.

***

[4]
RbPu2Cl11 after structural relaxation, computed with PBE.

Cell lengths 12.375, 11.261, 11.261 Å; angles 67.75, 56.67, 56.67 degrees
Site moments in Bohr magnetons follow the coordinates.
Atoms (fractional coordinates):
1 Cl 0.837 0.381 0.872  -0.11
2 Cl 0.621 0.195 0.059  -0.11
3 Cl 0.879 0.441 0.305  -0.11
4 Cl 0.090 0.128 0.619  -0.11
5 Cl 0.379 0.805 0.941  -0.11
6 Cl 0.876 0.941 0.805  -0.11
7 Cl 0.337 0.372 0.881  -0.11
8 Cl 0.775 0.809 0.191  -0.12
9 Cl 0.376 0.305 0.441  -0.11
10 Cl 0.590 0.119 0.628  -0.11
11 Cl 0.663 0.628 0.119  -0.11
12 Cl 0.275 0.691 0.309  -0.12
13 Cl 0.910 0.872 0.381  -0.11
14 Cl 0.624 0.695 0.559  -0.11
15 Cl 0.000 0.000 0.000  -0.08
16 Cl 0.225 0.191 0.809  -0.12
17 Cl 0.500 0.500 0.500  -0.08
18 Cl 0.410 0.881 0.372  -0.11
19 Cl 0.124 0.059 0.195  -0.11
20 Cl 0.121 0.559 0.695  -0.11
21 Cl 0.725 0.309 0.691  -0.12
22 Cl 0.163 0.619 0.128  -0.11
23 Rb 0.250 0.250 0.250  0.00
24 Rb 0.750 0.750 0.750  0.00
25 Pu 0.356 0.339 0.661  3.71
26 Pu 0.144 0.839 0.161  3.71
27 Pu 0.644 0.661 0.339  3.71
28 Pu 0.856 0.161 0.839  3.71

Calculated values
The value obtained for the total energy is -140.983 eV for the cell shown. The value obtained for the uncorrected formation energy is -1468 meV per atom. The theoretical density is 2.939 g cm⁻³.

***

What did the third record say?
RbPuCl3 after structural relaxation, computed with PBE.

Cell lengths 4.352, 7.685, 18.257 Å; angles 90.00, 90.00, 90.00 degrees
Site moments in Bohr magnetons follow the coordinates.
Atoms (fractional coordinates):
1 Cl 0.750 0.814 0.193  -0.01
2 Cl 0.250 0.371 0.551  -0.03
3 Cl 0.750 0.129 0.051  -0.03
4 Cl 0.250 0.510 0.084  -0.04
5 Cl 0.750 0.314 0.307  -0.01
6 Cl 0.250 0.186 0.807  -0.01
7 Cl 0.750 0.490 0.916  -0.04
8 Cl 0.750 0.629 0.449  -0.03
9 Cl 0.250 0.871 0.949  -0.03
10 Cl 0.750 0.990 0.584  -0.04
11 Cl 0.250 0.686 0.693  -0.01
12 Cl 0.250 0.010 0.416  -0.04
13 Rb 0.250 0.639 0.304  0.00
14 Rb 0.750 0.361 0.696  0.00
15 Rb 0.250 0.139 0.196  0.00
16 Rb 0.750 0.861 0.804  0.00
17 Pu 0.250 0.263 0.960  5.75
18 Pu 0.750 0.737 0.040  5.75
19 Pu 0.250 0.763 0.540  5.75
20 Pu 0.750 0.237 0.460  5.75

Calculated values
The value obtained for the total energy is -120.174 eV for the cell shown. The value obtained for the uncorrected formation energy is -1841 meV per atom. The theoretical density is 4.741 g cm⁻³.

***

Copy entry 4 word for word.
RbPu2Cl11 after structural relaxation, computed with PBE.

Cell lengths 12.375, 11.261, 11.261 Å; angles 67.75, 56.67, 56.67 degrees
Site moments in Bohr magnetons follow the coordinates.
Atoms (fractional coordinates):
1 Cl 0.837 0.381 0.872  -0.11
2 Cl 0.621 0.195 0.059  -0.11
3 Cl 0.879 0.441 0.305  -0.11
4 Cl 0.090 0.128 0.619  -0.11
5 Cl 0.379 0.805 0.941  -0.11
6 Cl 0.876 0.941 0.805  -0.11
7 Cl 0.337 0.372 0.881  -0.11
8 Cl 0.775 0.809 0.191  -0.12
9 Cl 0.376 0.305 0.441  -0.11
10 Cl 0.590 0.119 0.628  -0.11
11 Cl 0.663 0.628 0.119  -0.11
12 Cl 0.275 0.691 0.309  -0.12
13 Cl 0.910 0.872 0.381  -0.11
14 Cl 0.624 0.695 0.559  -0.11
15 Cl 0.000 0.000 0.000  -0.08
16 Cl 0.225 0.191 0.809  -0.12
17 Cl 0.500 0.500 0.500  -0.08
18 Cl 0.410 0.881 0.372  -0.11
19 Cl 0.124 0.059 0.195  -0.11
20 Cl 0.121 0.559 0.695  -0.11
21 Cl 0.725 0.309 0.691  -0.12
22 Cl 0.163 0.619 0.128  -0.11
23 Rb 0.250 0.250 0.250  0.00
24 Rb 0.750 0.750 0.750  0.00
25 Pu 0.356 0.339 0.661  3.71
26 Pu 0.144 0.839 0.161  3.71
27 Pu 0.644 0.661 0.339  3.71
28 Pu 0.856 0.161 0.839  3.71

Calculated values
The value obtained for the total energy is -140.983 eV for the cell shown. The value obtained for the uncorrected formation energy is -1468 meV per atom. The theoretical density is 2.939 g cm⁻³.

***

Question: The lowest theoretical density belongs to which entry?
Answer: Rb6PuCl12

***

Question: Look up the theoretical density of the first one.
Answer: 2.578 g cm⁻³